*A*
This record from the Alexandria database describes an optimized crystal structure of Ta3C5. The functional is PBE-GGA.

Calculated volume (Å³/cell): 91

a = 3.059 Å, b = 3.059 Å, c = 9.735 Å
α = 90.00°, β = 90.00°, γ = 90.00°
Fractional coordinates of all 8 atoms:
Ta1 0.000 0.000 0.500
Ta2 0.500 0.500 0.222
Ta3 0.500 0.500 0.778
C1 0.000 0.000 0.000
C2 0.000 0.000 0.139
C3 0.000 0.000 0.861
C4 0.500 0.500 0.427
C5 0.500 0.500 0.573

---

*B*
This record from the Alexandria database describes an optimized crystal structure of Ta3C5. The functional is PBE-GGA.

Calculated volume (Å³/cell): 80

a = 4.501 Å, b = 4.501 Å, c = 4.150 Å
α = 90.00°, β = 90.00°, γ = 107.25°
Fractional coordinates of all 8 atoms:
Ta1 0.500 0.500 0.000
Ta2 0.804 0.196 0.500
Ta3 0.196 0.804 0.500
C1 0.000 0.000 0.000
C2 0.000 0.500 0.000
C3 0.500 0.000 0.000
C4 0.358 0.358 0.500
C5 0.642 0.642 0.500

---

Relative energy table, unit kJ/mol of atoms: *A* 0.0; *B* 66.0